This record from the Alexandria database describes a geometry-optimized KPtPb structure. The functional is GGA-PBE.

Results
The calculation puts the mass density at 9.27 g/cm³. The calculation puts the calculated formation energy at -75 kJ/mol of formula units. The calculation puts the raw total energy at -23.24 eV per cell. The calculation puts the density of states at the Fermi level at 1.90 states/eV/cell. The crystal system is monoclinic.

Cell and atoms, written as CIF:
```
data_KPtPb
_symmetry_space_group_name_H-M 'P 1'
_symmetry_Int_Tables_number 1
_cell_length_a 5.464
_cell_length_b 5.464
_cell_length_c 7.349
_cell_angle_alpha 120.33
_cell_angle_beta 120.33
_cell_angle_gamma 63.68
loop_
_symmetry_equiv_pos_as_xyz
'x,y,z'
loop_
_atom_site_label
_atom_site_type_symbol
_atom_site_fract_x
_atom_site_fract_y
_atom_site_fract_z
K1 K 0.177 0.177 0.015
K2 K 0.823 0.823 0.985
Pt1 Pt 0.242 0.758 0.500
Pt2 Pt 0.758 0.242 0.500
Pb1 Pb 0.333 0.333 0.659
Pb2 Pb 0.667 0.667 0.341
```